No. 1
A plane-wave DFT calculation with GGA-PBE was carried out for crystalline Y2AgPb2 at its relaxed geometry.

- formation energy from the elements (meV/atom) = -132.6
- symmetry = P4/mbm, No. 127
- DFT total energy (eV per atom) = -4.7718

```
10
Lattice="8.9006 0.0000 0.0000 0.0000 8.9006 0.0000 0.0000 0.0000 3.6749" Properties=species:S:1:pos:R:3 pbc="T T T"
Pb 1.5027 5.9530 1.8375
Pb 5.9530 7.3979 1.8375
Pb 7.3979 2.9476 1.8375
Pb 2.9476 1.5027 1.8375
Y 3.2295 7.6798 0.0000
Y 7.6798 5.6710 0.0000
Y 5.6710 1.2207 0.0000
Y 1.2207 3.2295 0.0000
Ag 0.0000 0.0000 0.0000
Ag 4.4503 4.4503 0.0000
```

=====

No. 2
A plane-wave DFT calculation with GGA-PBE was carried out for crystalline ZrBe9Fe2 at its relaxed geometry.

- formation energy from the elements (meV/atom) = -221.9
- symmetry = R-3m, No. 166
- DFT total energy (eV per atom) = -5.1393

```
12
Lattice="-3.7532 1.0098 -1.9518 -3.2587 -2.8795 -0.0692 -4.7304 1.9425 5.2556" Properties=species:S:1:pos:R:3 pbc="T T T"
Zr 0.0000 0.0000 0.0000
Be -9.4028 0.6938 3.9031
Be -2.3394 -0.6210 -0.6685
Be -5.8711 0.0364 1.6173
Be -4.1179 -0.2550 0.5549
Be -6.0230 0.2576 -0.4358
Be -5.7720 -1.7166 0.5198
Be -7.6243 0.3277 2.6798
Be -5.9702 1.7894 2.7149
Be -5.7192 -0.1848 3.6705
Fe -8.0471 -0.7598 0.5440
Fe -3.6951 0.8326 2.6907
```

=====

Which of these has the lowest formation energy from the elements?
ZrBe9Fe2

=====

What is the DFT total energy in the first record?
-4.7718 eV per atom

=====

Which formula does entry 2 have?
ZrBe9Fe2

=====

Which of these has the lowest formation energy from the elements?
ZrBe9Fe2